Entry from Alexandria via LeMat-Bulk: an optimized crystal structure of BaSrPrCoO6 (PBE with a Hubbard U). Values from VASP.

Magnetization = 2.00 μB/f.u.
Calculated volume = 14.620 Å³ per atom
Distance to the lowest polymorph of the same formula = 0.000 eV per formula unit
Uncorrected energy = -6.416 eV per atom

The structure in Quantum ESPRESSO input format:
```
&SYSTEM
  ibrav = 0, nat = 20, ntyp = 5
/
ATOMIC_SPECIES
O 16.00 O.upf
Ba 137.33 Ba.upf
Co 58.93 Co.upf
Pr 140.91 Pr.upf
Sr 87.62 Sr.upf
ATOMIC_POSITIONS angstrom
O -1.194 3.642 2.575
O -1.332 3.588 -2.326
Ba -5.035 8.601 2.585
Ba 0.302 1.287 1.638
Co -2.213 2.583 3.858
O -1.541 1.610 -0.604
O -1.063 6.321 0.744
Pr -2.900 0.102 0.517
Sr -2.757 3.790 0.401
O -5.396 3.750 0.716
Sr -1.977 6.098 3.823
Co -0.153 2.361 -1.746
O -2.977 6.046 -1.025
O -3.401 6.300 6.549
O 0.663 6.138 3.508
Pr 0.534 4.842 1.595
O -1.756 3.842 5.249
O -3.192 8.278 4.827
O -3.539 6.246 1.648
O -3.670 3.567 3.480
CELL_PARAMETERS angstrom
-0.307 4.723 -3.493
-5.800 0.204 1.034
1.374 4.961 6.682
```